Compound: LiTb3Se2Cl6
Source: the Alexandria database
Functional: GGA-PBE
Structure: relaxed

Lattice parameters (Å, degrees): 7.859 7.859 6.177 91.41 91.41 61.58
Fractional coordinates of all 12 atoms:
Li 0.000 0.000 0.000
Tb 0.000 0.500 0.000
Tb 0.500 0.000 0.000
Tb 0.500 0.500 0.500
Se 0.326 0.326 0.737
Se 0.674 0.674 0.263
Cl 0.160 0.160 0.213
Cl 0.172 0.670 0.246
Cl 0.330 0.828 0.754
Cl 0.670 0.172 0.246
Cl 0.828 0.330 0.754
Cl 0.840 0.840 0.787

Summary:
Formation energy without anion corrections: -2.02 eV per atom
Final energy: -58.1 eV/cell
Theoretical density: 4.2 g/cm³
Volume: 335 Å³ per cell
Symmetry: C2/m



Compound: Al2ReAs
Source: the Alexandria database
Functional: GGA-PBE
Structure: relaxed

Lattice parameters (Å, degrees): 3.052 3.052 24.400 90.00 90.00 120.00
Fractional coordinates of all 12 atoms:
Al 0.000 0.000 0.000
Al 0.000 0.000 0.243
Al 0.333 0.667 0.667
Al 0.333 0.667 0.910
Al 0.667 0.333 0.333
Al 0.667 0.333 0.577
Re 0.000 0.000 0.495
Re 0.333 0.667 0.161
Re 0.667 0.333 0.828
As 0.000 0.000 0.754
As 0.333 0.667 0.421
As 0.667 0.333 0.088

Summary:
Energy of formation from the pure elements: 0.0904 eV/atom
Final energy: -72.7 eV/cell
Distance to the lowest polymorph of the same formula: 0.1566 eV/atom
Theoretical density: 8.0 g/cm³
Volume: 197 Å³ per cell
Symmetry: R3m



Compound: ZnTcTe
Source: the Alexandria database
Functional: GGA-PBE
Structure: relaxed

Lattice parameters (Å, degrees): 4.437 4.437 3.374 90.00 90.00 120.00
Fractional coordinates of all 3 atoms:
Zn 0.000 0.000 0.000
Tc 0.667 0.333 0.500
Te 0.333 0.667 0.500

Summary:
Formation energy without anion corrections: 0.50 eV per atom
Final energy: -13.3 eV/cell
Distance to the lowest polymorph of the same formula: 0.3470 eV/atom
Theoretical density: 8.4 g/cm³
Volume: 58 Å³ per cell
Symmetry: P-6m2



> Which value of theoretical density does entry 3 give?

8.4 g/cm³